Here is a relaxed structure of TbDy7Er2 from Alexandria via LeMat-Bulk. Energies are from PBE.

Summary:
symmetry	Cmmm (65)
E	-3.898	eV per atom
relative energy among the computed polymorphs	649	meV/atom
calculated formation energy	0.699	eV per atom

Cell lengths 5.3307, 9.3897, 9.3897 Å; angles 125.00, 90.00, 90.00 degrees
Element x y z (fractional)
Tb 0.0000 0.0000 0.0000
Dy 0.0000 0.7973 0.2027
Dy 0.0000 0.2027 0.7973
Dy 0.5000 0.0665 0.2897
Dy 0.5000 0.9335 0.7103
Dy 0.5000 0.2897 0.0665
Dy 0.5000 0.7103 0.9335
Dy 0.5000 0.5000 0.5000
Er 0.5000 0.7022 0.2978
Er 0.5000 0.2978 0.7022

Here is a relaxed structure of Sr3CeHo3Te8 from Alexandria via LeMat-Bulk. Energies are from PBE.

Summary:
symmetry	R-3m (166)
raw formation energy	-1.486	eV/atom
E	-4.809	eV per atom

Cell lengths 8.9062, 8.9070, 9.1737 Å; angles 119.05, 90.00, 120.00 degrees
Each line ends with the local moment (μB).
Element x y z (fractional)
Sr 0.0000 0.0000 0.0000  0.00
Sr 0.0000 0.5000 0.0000  0.00
Sr 0.5000 0.5000 0.0000  0.00
Ce 0.0000 0.0000 0.5000  1.02
Ho 0.5000 0.0000 0.5000  0.02
Ho 0.5000 0.5000 0.5000  0.02
Ho 0.0000 0.5000 0.5000  0.02
Te 0.2568 0.5136 0.2707  0.00
Te 0.7432 0.4864 0.7293  0.00
Te 0.7477 0.4953 0.2643  -0.01
Te 0.2523 0.5047 0.7357  -0.01
Te 0.7480 0.0168 0.2646  -0.01
Te 0.2520 0.9832 0.7354  -0.01
Te 0.2689 0.0168 0.2646  -0.01
Te 0.7311 0.9832 0.7354  -0.01

Here is a relaxed structure of CuRhS2N from Alexandria via LeMat-Bulk. Energies are from PBE.

Summary:
symmetry	P4/mmm (123)
raw formation energy	0.767	eV/atom
E	-4.838	eV per atom
relative energy among the computed polymorphs	0	meV/atom

Cell lengths 4.8634, 4.8634, 3.5991 Å; angles 90.00, 90.00, 90.00 degrees
Element x y z (fractional)
S 0.0000 0.5000 0.0000
S 0.5000 0.0000 0.0000
Rh 0.0000 0.0000 0.0000
Cu 0.5000 0.5000 0.5000
N 0.0000 0.0000 0.5000